Record 1
10
Lattice="-4.1270 1.5353 -0.3708 -1.2385 -3.7895 -1.9060 -3.3764 -5.7737 13.6729" Properties=species:S:1:pos:R:3 comment="PBE SmPuTe2Cl, relaxed" crystal_system=tetragonal magnetic_moment_mub_per_cell=10.9 total_energy_ev_per_cell=-68.59 dos_ef_per_ev_cell=28.353 pbc="T T T"
Sm -2.3839 0.2198 1.1120
Sm -3.6753 -7.1206 11.4225
Te -5.0491 -4.3378 11.9048
Te -2.9813 -5.9339 8.6122
Te -3.0779 -0.9669 3.9223
Te -1.0101 -2.5631 0.6296
Cl -4.3710 -4.0140 5.6980
Cl -1.6882 -2.8869 6.8364
Pu -4.1806 -2.8526 8.3877
Pu -1.8786 -4.0483 4.1468


Record 2
18
Lattice="7.2428 0.0000 0.0000 -3.6214 6.2725 0.0000 0.0000 0.0000 13.9621" Properties=species:S:1:pos:R:3 comment="PBE SmPuTlCl6, relaxed" crystal_system=trigonal magnetic_moment_mub_per_cell=12.0 total_energy_ev_per_cell=-98.08 dos_ef_per_ev_cell=30.858 pbc="T T T"
Tl 0.0000 0.0000 6.9811
Tl 0.0000 0.0000 0.0000
Cl 2.6559 0.0628 1.9300
Cl 2.3479 3.9410 1.9300
Cl -1.2735 2.3315 8.9111
Cl 2.2390 4.0038 8.9111
Cl 4.5869 0.0628 5.0511
Cl 1.3824 2.2687 5.0511
Cl 1.2735 2.3315 12.0321
Cl -2.2390 4.0038 12.0321
Cl 0.9655 6.2096 12.0321
Cl -0.9655 6.2096 8.9111
Cl 5.8605 2.2687 1.9300
Cl 4.8950 3.9410 5.0511
Sm 0.0000 4.1816 10.4716
Sm 3.6214 2.0908 3.4905
Pu 3.6214 2.0908 10.4716
Pu 0.0000 4.1816 3.4905


Record 3
6
Lattice="4.2827 0.0000 0.0000 0.0000 4.2827 0.0000 -2.1414 -2.1414 8.7911" Properties=species:S:1:pos:R:3 comment="PBE PuSnCl, relaxed" crystal_system=tetragonal magnetic_moment_mub_per_cell=11.6 total_energy_ev_per_cell=-45.27 dos_ef_per_ev_cell=21.255 pbc="T T T"
Sn 2.1414 2.1414 3.7342
Sn 0.0000 0.0000 5.0569
Pu 0.0000 0.0000 1.8618
Pu 2.1414 2.1414 6.9293
Cl 2.1414 0.0000 0.0000
Cl 0.0000 2.1414 0.0000


Record 4
4
Lattice="-2.8055 1.9590 0.8960 -2.7319 0.2994 -2.2267 -6.2456 -7.5089 3.8437" Properties=species:S:1:pos:R:3 comment="PBE PuSnCl2, relaxed" crystal_system=trigonal magnetic_moment_mub_per_cell=6.0 total_energy_ev_per_cell=-24.62 dos_ef_per_ev_cell=8.709 pbc="T T T"
Cl -6.6617 0.1473 -0.2352
Cl -5.1213 -5.3978 2.7482
Sn -5.8915 -2.6252 1.2565
Pu 0.0000 0.0000 0.0000


Record 5
8
Lattice="0.2371 1.1641 -6.8418 -2.7866 -5.8285 2.5465 -5.2254 4.1648 1.4191" Properties=species:S:1:pos:R:3 comment="PBE PuSnCl6, relaxed" crystal_system=monoclinic magnetic_moment_mub_per_cell=4.0 total_energy_ev_per_cell=-40.73 dos_ef_per_ev_cell=10.882 relative_energy_kj_per_mol_atoms=0.00 pbc="T T T"
Cl -3.2809 -2.3739 -2.8248
Cl -1.6227 0.8601 -2.1535
Cl -2.5049 -1.1801 0.5858
Cl -5.2700 0.6804 -3.4620
Cl -6.1522 -1.3598 -0.7228
Cl -4.4940 1.8742 -0.0514
Sn 0.0000 0.0000 0.0000
Pu -3.8875 -0.2498 -1.4381


Record 6
14
Lattice="4.2543 0.0000 0.0000 0.0000 7.6704 -0.4137 0.0000 -0.0281 13.2330" Properties=species:S:1:pos:R:3 comment="PBE PuSnCl5, relaxed" crystal_system=monoclinic magnetic_moment_mub_per_cell=10.0 total_energy_ev_per_cell=-75.84 dos_ef_per_ev_cell=25.435 pbc="T T T"
Sn 1.0636 6.9879 11.0341
Sn 3.1907 0.6543 1.7853
Cl 3.1907 7.0789 8.5874
Cl 3.1907 4.6757 3.5936
Cl 1.0636 5.1914 6.5909
Cl 1.0636 2.9666 9.2258
Cl 3.1907 2.4509 6.2284
Cl 1.0636 6.5410 0.4862
Cl 3.1907 4.9736 11.1098
Cl 1.0636 0.5634 4.2319
Cl 1.0636 2.6687 1.7095
Cl 3.1907 1.1013 12.3331
Pu 1.0636 3.2317 4.4982
Pu 3.1907 4.4106 8.3211


Record 7
8
Lattice="-6.6134 -1.3908 0.8414 -3.5500 -2.8524 -5.0647 -1.9158 -7.0999 0.7620" Properties=species:S:1:pos:R:3 comment="PBE PuSnCl6, relaxed" crystal_system=trigonal magnetic_moment_mub_per_cell=4.0 total_energy_ev_per_cell=-40.70 dos_ef_per_ev_cell=7.080 relative_energy_kj_per_mol_atoms=0.37 pbc="T T T"
Sn -6.0396 -5.6715 -1.7306
Cl -6.7676 -8.1165 -2.9681
Cl -8.6817 -4.7189 -2.1199
Cl -5.3116 -3.2266 -0.4931
Cl -3.3975 -6.6241 -1.3414
Cl -5.2703 -4.6532 -4.2624
Cl -6.8089 -6.6899 0.8011
Pu 0.0000 0.0000 0.0000


Record 8
11
Lattice="6.2702 0.0000 -2.9867 0.1914 8.0145 0.4019 -0.1210 0.4387 7.8211" Properties=species:S:1:pos:R:3 comment="PBE PuSn2Cl8, relaxed" crystal_system=monoclinic magnetic_moment_mub_per_cell=4.0 total_energy_ev_per_cell=-51.04 dos_ef_per_ev_cell=4.622 pbc="T T T"
Cl 4.4239 3.3435 1.2122
Cl 1.0113 0.9445 2.1231
Cl 1.1188 2.3232 6.4157
Cl 5.3294 7.5087 3.1131
Cl 1.9168 5.1097 4.0240
Cl 4.2767 2.3232 4.9114
Cl 2.0640 6.1301 0.3248
Cl 5.2219 6.1301 -1.1794
Pu 0.0000 0.0000 0.0000
Sn 0.9256 4.2732 1.9432
Sn 5.4151 4.1800 3.2931


Record 9
18
Lattice="-4.1747 -3.1711 4.7205 3.7251 -8.1033 2.0670 4.3077 0.0773 8.0777" Properties=species:S:1:pos:R:3 comment="PBE SrPu2Cl6, relaxed" crystal_system=monoclinic magnetic_moment_mub_per_cell=24.0 total_energy_ev_per_cell=-117.99 dos_ef_per_ev_cell=51.765 relative_energy_kj_per_mol_atoms=0.00 pbc="T T T"
Sr 0.7825 -7.8373 7.5503
Sr 3.0757 -3.3597 7.3150
Cl -0.2664 -6.9669 4.7156
Cl 0.2856 -4.8866 7.4897
Cl 1.7126 -10.3740 9.1608
Cl 1.5440 -7.0716 10.3416
Cl 3.5726 -6.3105 7.3756
Cl 0.9708 -4.6876 13.0098
Cl 4.1246 -4.2302 10.1497
Cl 2.1456 -0.8231 5.7045
Cl 2.8874 -6.5095 1.8554
Cl 2.6026 -9.4978 5.9503
Cl 1.2556 -1.6992 8.9150
Cl 2.3142 -4.1254 4.5237
Pu 2.3846 -9.3637 11.8736
Pu 1.4736 -1.8333 2.9917
Pu 4.5153 -7.1700 9.9602
Pu -0.6571 -4.0270 4.9051


Record 10
11
Lattice="4.8663 0.0000 0.0000 -2.4332 8.0388 -1.3947 0.0000 0.0348 8.4983" Properties=species:S:1:pos:R:3 comment="PBE SrPu2Cl8, relaxed" crystal_system=monoclinic magnetic_moment_mub_per_cell=10.0 total_energy_ev_per_cell=-67.28 dos_ef_per_ev_cell=21.016 pbc="T T T"
Cl 2.4332 6.7445 5.9276
Cl 0.0000 3.1648 4.1698
Cl 2.4332 4.9088 2.9338
Cl 0.0000 1.3291 1.1760
Cl 2.4332 3.4061 0.1108
Cl 0.0000 4.6675 6.9928
Cl 0.0000 6.7566 1.2238
Cl 2.4332 1.3170 5.8798
Sr 2.4332 0.0000 0.0000
Pu 0.0000 4.1137 1.4913
Pu 2.4332 3.9599 5.6123


Record 11
8
Lattice="-0.8179 2.7883 -6.2408 -4.0350 -3.0847 -4.6455 -6.6258 3.2261 -1.4883" Properties=species:S:1:pos:R:3 comment="PBE SrPuCl6, relaxed" crystal_system=trigonal magnetic_moment_mub_per_cell=4.0 total_energy_ev_per_cell=-42.75 dos_ef_per_ev_cell=4.098 pbc="T T T"
Sr -5.7394 1.4649 -6.1873
Cl -8.4953 1.1658 -7.1637
Cl -6.6935 1.4625 -3.4079
Cl -2.9835 1.7639 -5.2109
Cl -5.4925 -1.4612 -6.0735
Cl -4.7853 1.4672 -8.9667
Cl -5.9862 4.3909 -6.3011
Pu 0.0000 0.0000 0.0000


Record 12
18
Lattice="6.7390 0.0000 0.0000 0.0000 6.7390 0.0000 0.0000 0.0000 13.0112" Properties=species:S:1:pos:R:3 comment="PBE SrPu2Cl6, relaxed" crystal_system=tetragonal magnetic_moment_mub_per_cell=24.0 total_energy_ev_per_cell=-117.93 dos_ef_per_ev_cell=59.833 relative_energy_kj_per_mol_atoms=0.29 pbc="T T T"
Cl 2.0535 2.0535 6.5056
Cl 1.3468 5.3922 8.7252
Cl 2.0227 2.0227 10.7916
Cl 1.3468 5.3922 4.2860
Cl 5.3922 1.3468 4.2860
Cl 5.4230 1.3161 0.0000
Cl 4.7163 4.7163 2.2196
Cl 1.3161 5.4230 0.0000
Cl 5.3922 1.3468 8.7252
Cl 2.0227 2.0227 2.2196
Cl 4.7163 4.7163 10.7916
Cl 4.6856 4.6856 6.5056
Pu 0.0000 0.0000 10.8653
Pu 3.3695 3.3695 4.3597
Pu 3.3695 3.3695 8.6515
Pu 0.0000 0.0000 2.1459
Sr 3.3695 3.3695 0.0000
Sr 0.0000 0.0000 6.5056


Record 13
18
Lattice="7.4958 0.0000 0.0000 -3.7479 6.4916 0.0000 0.0000 0.0000 13.3132" Properties=species:S:1:pos:R:3 comment="PBE SrPuTlCl6, relaxed" crystal_system=trigonal magnetic_moment_mub_per_cell=10.0 total_energy_ev_per_cell=-93.23 dos_ef_per_ev_cell=21.901 pbc="T T T"
Cl -2.2807 4.1853 11.4876
Cl 1.4673 2.3063 4.8310
Cl 2.4842 4.0677 1.8256
Cl -1.0170 6.3741 8.4822
Cl 1.2637 2.4238 11.4876
Cl -1.2637 2.4238 8.4822
Cl 2.2807 4.1853 8.4822
Cl 1.0170 6.3741 11.4876
Cl 5.0116 4.0677 4.8310
Cl 6.0286 2.3063 1.8256
Cl 4.7649 0.1175 4.8310
Cl 2.7310 0.1175 1.8256
Sr 0.0000 4.3277 3.3283
Sr 3.7479 2.1639 9.9849
Pu 0.0000 4.3277 9.9849
Pu 3.7479 2.1639 3.3283
Tl 0.0000 0.0000 0.0000
Tl 0.0000 0.0000 6.6566


Record 14
14
Lattice="-3.0074 -4.9038 4.4848 -2.5801 -5.5965 -3.9022 6.0711 -8.0716 0.9760" Properties=species:S:1:pos:R:3 comment="PBE TbPuCl5, relaxed" crystal_system=monoclinic magnetic_moment_mub_per_cell=12.0 total_energy_ev_per_cell=-84.28 dos_ef_per_ev_cell=35.072 relative_energy_kj_per_mol_atoms=0.00 pbc="T T T"
Cl 1.9296 -11.5794 -2.3135
Cl -2.6886 -5.9322 -1.2461
Cl 0.1855 -9.7063 2.4102
Cl -0.3834 -13.1098 0.6894
Cl 3.9402 -9.5590 0.6164
Cl 3.1722 -12.6396 2.8047
Cl 0.2981 -8.8655 -0.8516
Cl -1.4460 -6.9924 3.8721
Cl 0.8670 -5.4621 0.8692
Cl -3.4567 -9.0129 0.9422
Tb 3.0356 -4.0358 0.4880
Tb 0.0000 0.0000 0.0000
Pu 1.7803 -11.3374 0.6169
Pu -1.2967 -7.2345 0.9417


Record 15
14
Lattice="-3.8166 -0.5637 6.0969 4.0876 -4.4863 3.9013 4.5699 10.1566 -1.6937" Properties=species:S:1:pos:R:3 comment="PBE TbPuCl5, relaxed" crystal_system=monoclinic magnetic_moment_mub_per_cell=12.0 total_energy_ev_per_cell=-84.11 dos_ef_per_ev_cell=39.187 relative_energy_kj_per_mol_atoms=1.18 pbc="T T T"
Pu 4.6665 5.7737 0.9039
Pu 0.1745 -0.6671 7.4006
Cl 3.0069 8.3281 3.8454
Cl 3.8209 8.2005 -0.0689
Cl 1.8341 -3.2216 4.4591
Cl 2.0185 0.4250 5.6807
Cl 3.3845 3.9521 6.2968
Cl 0.0858 3.5656 4.8690
Cl 1.0201 -3.0939 8.3734
Cl 2.8225 4.6815 2.6238
Cl 1.4565 1.1544 2.0077
Cl 4.7552 1.5410 3.4355
Tb 2.4205 2.5533 4.1523
Tb 0.0000 0.0000 0.0000


Record 16
12
Lattice="6.5878 0.0000 -0.3651 0.0000 7.1158 0.0000 -0.4874 0.0000 6.9388" Properties=species:S:1:pos:R:3 comment="PBE TbPuCl4, relaxed" crystal_system=monoclinic magnetic_moment_mub_per_cell=14.0 total_energy_ev_per_cell=-73.26 dos_ef_per_ev_cell=23.246 pbc="T T T"
Pu 3.2939 3.5579 -0.1826
Pu 0.0000 0.0000 0.0000
Cl 0.8129 5.9658 4.4605
Cl 3.6383 1.1109 5.6389
Cl 1.9935 2.4079 2.2957
Cl 2.4621 6.0049 0.9347
Cl 5.2875 1.1500 2.1131
Cl 4.1069 4.7079 4.2780
Cl 5.7561 4.6687 0.7522
Cl 0.3443 2.4470 5.8215
Tb 3.0502 0.0000 3.2868
Tb -0.2437 3.5579 3.4694


Record 17
10
Lattice="4.3855 0.0000 0.0000 0.0000 4.3855 0.0000 0.0000 0.0000 15.1388" Properties=species:S:1:pos:R:3 comment="PBE TbPuTe2Cl, relaxed" crystal_system=tetragonal magnetic_moment_mub_per_cell=10.9 total_energy_ev_per_cell=-68.26 dos_ef_per_ev_cell=28.440 pbc="T T T"
Tb 0.0000 2.1927 13.7134
Tb 2.1927 0.0000 1.4254
Pu 2.1927 0.0000 9.5059
Pu 0.0000 2.1927 5.6329
Te 0.0000 2.1927 1.7158
Te 2.1927 0.0000 4.4999
Te 0.0000 2.1927 10.6390
Te 2.1927 0.0000 13.4230
Cl 0.0000 0.0000 7.5694
Cl 2.1927 2.1927 7.5694


Record 18
18
Lattice="-6.3506 3.3378 0.4884 1.4610 -5.5923 4.2780 5.3033 8.6924 9.5517" Properties=species:S:1:pos:R:3 comment="PBE TbPuTlCl6, relaxed" crystal_system=trigonal magnetic_moment_mub_per_cell=12.0 total_energy_ev_per_cell=-98.01 dos_ef_per_ev_cell=31.299 pbc="T T T"
Cl 3.8376 3.5095 7.7219
Cl -2.1300 5.1826 3.8264
Cl 5.3980 3.9542 10.9679
Cl -2.4153 -0.1427 4.3141
Cl 2.8290 6.5807 10.0041
Cl 0.0520 2.3777 5.1675
Cl -3.4240 2.9285 6.5962
Cl 2.5437 1.2554 10.4917
Cl 2.0377 4.0624 12.7352
Cl -4.9843 2.4837 3.3503
Cl -1.6240 2.3756 1.5829
Cl 0.3617 4.0602 9.1507
Tb 2.8346 3.9037 10.1786
Tb -2.4209 2.5342 4.1396
Pu 0.2307 6.8804 8.9154
Pu 0.1830 -0.4425 5.4028
Tl 2.6516 4.3462 4.7758
Tl 0.0000 0.0000 0.0000


Record 19
4
Lattice="-0.9207 2.6442 1.7190 -0.1076 -1.8161 2.7358 7.6639 1.7272 1.4478" Properties=species:S:1:pos:R:3 comment="PBE Pu2TcCl, relaxed" crystal_system=tetragonal magnetic_moment_mub_per_cell=10.2 total_energy_ev_per_cell=-43.09 dos_ef_per_ev_cell=11.612 relative_energy_kj_per_mol_atoms=0.00 pbc="T T T"
Pu 5.9695 1.3453 1.1277
Pu 1.6944 0.3819 0.3201
Cl 3.3178 1.2776 2.9514
Tc -0.5141 0.4141 2.2274


Record 20
4
Lattice="-1.8664 2.6367 -1.0762 -0.0332 0.8270 -3.3028 -7.4806 -4.2131 -2.7349" Properties=species:S:1:pos:R:3 comment="PBE Pu2TcCl, relaxed" crystal_system=trigonal magnetic_moment_mub_per_cell=10.5 total_energy_ev_per_cell=-42.50 dos_ef_per_ev_cell=13.140 relative_energy_kj_per_mol_atoms=14.14 pbc="T T T"
Pu -7.1548 -0.6558 -5.3577
Pu -2.2255 -0.0936 -1.7562
Cl -4.6901 -0.3747 -3.5570
Tc 0.0000 0.0000 0.0000


Record 21
11
Lattice="7.7176 -1.2496 -0.8729 -0.3229 8.0742 0.5192 -0.3229 3.2662 7.4023" Properties=species:S:1:pos:R:3 comment="PBE PuTe2Cl8, relaxed" crystal_system=monoclinic magnetic_moment_mub_per_cell=3.9 total_energy_ev_per_cell=-44.79 dos_ef_per_ev_cell=12.171 pbc="T T T"
Te 3.8339 1.0819 0.7557
Te 3.2380 9.0089 6.2929
Cl 5.0701 2.7032 1.8883
Cl 5.6866 6.5628 1.5718
Cl 5.4499 8.1518 5.6942
Cl 1.6220 1.9390 1.3544
Cl 1.3853 3.5280 5.4769
Cl 1.3853 6.3565 1.4277
Cl 2.0018 7.3876 5.1604
Cl 5.6866 3.7343 5.6210
Pu 0.0000 0.0000 0.0000